# Th2HgGe3Ir4 (PBE, optimized geometry)
# Formation enthalpy at 0 K in kcal/mol of atoms: -14.9
# Total magnetization in Bohr magnetons per cell: 0.0
data_Th2HgGe3Ir4
_chemical_formula_sum 'Th2 Hg1 Ge3 Ir4'
_cell_length_a 4.1313
_cell_length_b 4.1313
_cell_length_c 11.4915
_cell_angle_alpha 90.00
_cell_angle_beta 90.00
_cell_angle_gamma 90.00
_space_group_name_H-M_alt 'P -4 m 2'
_space_group_IT_number 115
_space_group_name_Hall 'P -4 -2'
loop_
_atom_site_label
_atom_site_type_symbol
_atom_site_fract_x
_atom_site_fract_y
_atom_site_fract_z
Th1 Th 0.0000 0.5000 0.2465
Hg1 Hg 0.0000 0.0000 0.5000
Ge1 Ge 0.0000 0.5000 0.8813
Ge2 Ge 0.5000 0.5000 0.5000
Ir1 Ir 0.0000 0.0000 0.0000
Ir2 Ir 0.0000 0.5000 0.6714
Ir3 Ir 0.5000 0.5000 0.0000